No. 1
NpCuMo | PBE | optimized geometry

Calculated values
Its crystal system is cubic. Its space group is F-43m, No. 216. The energy relative to the lowest polymorph listed for this composition is 0.000 eV per atom. As for the formation energy: 0.951 eV per atom.

Unit cell a=4.3151 b=4.3151 c=4.3151 alpha=60.00 beta=60.00 gamma=60.00
Closest atoms and distances in Å follow each position.
Fractional coordinates of all 3 atoms:
Cu  0.2500  0.2500  0.2500  4 Mo 2.64
Mo  0.0000  0.0000  0.0000  4 Np 2.64, 4 Cu 2.64
Np  0.7500  0.7500  0.7500  4 Mo 2.64


No. 2
Er3Tm3NiTe2 | PBE | optimized geometry

Calculated values
Its crystal system is hexagonal. Its space group is P-62m, No. 189. The energy relative to the lowest polymorph listed for this composition is 0.015 eV per atom.

Unit cell a=8.2798 b=8.2798 c=3.8482 alpha=90.00 beta=90.00 gamma=120.00
Closest atoms and distances in Å follow each position.
Fractional coordinates of all 9 atoms:
Er  0.7618  0.0000  0.5000  2 Ni 2.76
Er  0.2382  0.2382  0.5000  2 Ni 2.76
Er  0.0000  0.7618  0.5000  2 Ni 2.76
Ni  0.0000  0.0000  0.0000  6 Er 2.76
Te  0.6667  0.3333  0.5000  6 Tm 3.18, 3 Er 3.23
Te  0.3333  0.6667  0.5000  6 Tm 3.18, 3 Er 3.23
Tm  0.3992  0.0000  0.0000  4 Te 3.18, 1 Ni 3.31, 4 Er 3.46
Tm  0.0000  0.3992  0.0000  4 Te 3.18, 1 Ni 3.31, 4 Er 3.46
Tm  0.6008  0.6008  0.0000  4 Te 3.18, 1 Ni 3.31, 4 Er 3.46


No. 3
MgAu | PBE | optimized geometry

Calculated values
Its crystal system is hexagonal. Its space group is P-6m2, No. 187. The value obtained for the total energy is -2.82 eV per atom.

Unit cell a=3.2152 b=3.2152 c=4.1752 alpha=90.00 beta=90.00 gamma=120.00
Closest atoms and distances in Å follow each position.
Fractional coordinates of all 2 atoms:
Au  0.6667  0.3333  0.7500  6 Mg 2.79
Mg  0.3333  0.6667  0.2500  6 Au 2.79


No. 4
K2TcCl5O | PBE | optimized geometry

Calculated values
Its crystal system is orthorhombic. Its space group is Pnma, No. 62. The value obtained for the total energy is -4.33 eV per atom.

Unit cell a=13.2899 b=10.0227 c=6.8621 alpha=90.00 beta=90.00 gamma=90.00
Closest atoms and distances in Å follow each position.
Fractional coordinates of all 36 atoms:
Cl  0.5025  0.2500  0.0326  1 Tc 2.39
Cl  0.7783  0.7500  0.0784  1 Tc 2.39
Cl  0.7472  0.2500  0.1063  1 Tc 2.56
Cl  0.1074  0.0121  0.1878  1 Tc 2.40
Cl  0.1074  0.4879  0.1878  1 Tc 2.40
Cl  0.6074  0.0121  0.3122  1 Tc 2.40
Cl  0.6074  0.4879  0.3122  1 Tc 2.40
Cl  0.2472  0.2500  0.3937  1 Tc 2.56
Cl  0.2783  0.7500  0.4216  1 Tc 2.39
Cl  0.0025  0.2500  0.4674  1 Tc 2.39
Cl  0.9975  0.7500  0.5326  1 Tc 2.39
Cl  0.7217  0.2500  0.5784  1 Tc 2.39
Cl  0.7528  0.7500  0.6063  1 Tc 2.56
Cl  0.3926  0.5121  0.6878  1 Tc 2.40
Cl  0.3926  0.9879  0.6878  1 Tc 2.40
Cl  0.8926  0.5121  0.8122  1 Tc 2.40
Cl  0.8926  0.9879  0.8122  1 Tc 2.40
Cl  0.2528  0.7500  0.8937  1 Tc 2.56
Cl  0.2217  0.2500  0.9216  1 Tc 2.39
Cl  0.4975  0.7500  0.9674  1 Tc 2.39
K  0.3564  0.0006  0.1654  10 Cl 3.24-3.62
K  0.3564  0.4994  0.1654  10 Cl 3.24-3.62
K  0.8564  0.0006  0.3346  10 Cl 3.24-3.62
K  0.8564  0.4994  0.3346  10 Cl 3.24-3.62
K  0.1436  0.5006  0.6654  10 Cl 3.24-3.62
K  0.1436  0.9994  0.6654  10 Cl 3.24-3.62
K  0.6436  0.5006  0.8346  10 Cl 3.24-3.62
K  0.6436  0.9994  0.8346  10 Cl 3.24-3.62
O  0.9958  0.2500  0.0145  1 Tc 1.67
O  0.4958  0.2500  0.4855  1 Tc 1.67
O  0.5042  0.7500  0.5145  1 Tc 1.67
O  0.0042  0.7500  0.9855  1 Tc 1.67
Tc  0.0939  0.2500  0.1668  1 O 1.67
Tc  0.5939  0.2500  0.3332  1 O 1.67
Tc  0.4061  0.7500  0.6668  1 O 1.67
Tc  0.9061  0.7500  0.8332  1 O 1.67


No. 5
ZrTaGe2 | PBE | optimized geometry

Calculated values
Its crystal system is cubic. Its space group is F-43m, No. 216. The energy relative to the lowest polymorph listed for this composition is 0.147 eV per atom.

Unit cell a=4.7235 b=4.7235 c=4.7235 alpha=60.00 beta=60.00 gamma=60.00
Closest atoms and distances in Å follow each position.
Fractional coordinates of all 4 atoms:
Ge  0.0000  0.0000  0.0000  4 Ge 2.89, 4 Zr 2.89
Ge  0.7500  0.7500  0.7500  4 Ta 2.89, 4 Ge 2.89
Ta  0.5000  0.5000  0.5000  4 Ge 2.89, 4 Zr 2.89
Zr  0.2500  0.2500  0.2500  4 Ta 2.89, 4 Ge 2.89


No. 6
CoCuSn2 | PBE | optimized geometry

Calculated values
Its crystal system is cubic. Its space group is F-43m, No. 216. The value obtained for the total energy is -4.17 eV per atom.

Unit cell a=4.6794 b=4.6794 c=4.6794 alpha=60.00 beta=60.00 gamma=60.00
Closest atoms and distances in Å follow each position.
Fractional coordinates of all 4 atoms:
Co  0.2500  0.2500  0.2500  4 Cu 2.87, 4 Sn 2.87
Cu  0.5000  0.5000  0.5000  4 Sn 2.87, 4 Co 2.87
Sn  0.0000  0.0000  0.0000  4 Sn 2.87, 4 Co 2.87
Sn  0.7500  0.7500  0.7500  4 Cu 2.87, 4 Sn 2.87


No. 7
TcGePd | PBE | optimized geometry

Calculated values
Its crystal system is cubic. Its space group is F-43m, No. 216. The energy relative to the lowest polymorph listed for this composition is 0.000 eV per atom.

Unit cell a=4.1391 b=4.1391 c=4.1391 alpha=60.00 beta=60.00 gamma=60.00
Closest atoms and distances in Å follow each position.
Fractional coordinates of all 3 atoms:
Ge  0.0000  0.0000  0.0000  4 Pd 2.53, 4 Tc 2.53
Pd  0.2500  0.2500  0.2500  4 Ge 2.53
Tc  0.7500  0.7500  0.7500  4 Ge 2.53


No. 8
ZrSc2Al3CoCu2 | PBE | optimized geometry

Calculated values
Its crystal system is orthorhombic. Its space group is Amm2, No. 38. The value obtained for the total energy is -5.69 eV per atom.

Unit cell a=3.7919 b=6.7398 c=6.7398 alpha=120.68 beta=90.00 gamma=90.00
Closest atoms and distances in Å follow each position.
Fractional coordinates of all 9 atoms:
Al  0.5000  0.2410  0.0008  2 Co 2.50, 2 Cu 2.59-2.61
Al  0.5000  0.0008  0.2410  2 Co 2.50, 2 Cu 2.59-2.61
Al  0.5000  0.7571  0.7571  2 Co 2.49, 2 Cu 2.61
Co  0.0000  0.9984  0.9984  6 Al 2.49-2.50, 1 Zr 2.73, 2 Sc 2.73
Cu  0.5000  0.6678  0.3319  3 Al 2.59-2.61, 4 Sc 2.77-2.78, 2 Zr 2.80
Cu  0.5000  0.3319  0.6678  3 Al 2.59-2.61, 4 Sc 2.77-2.78, 2 Zr 2.80
Sc  0.0000  0.5942  0.0013  1 Co 2.73, 4 Cu 2.77-2.78, 6 Al 3.03-3.06
Sc  0.0000  0.0013  0.5942  1 Co 2.73, 4 Cu 2.77-2.78, 6 Al 3.03-3.06
Zr  0.0000  0.4076  0.4076  1 Co 2.73, 4 Cu 2.80, 6 Al 3.01-3.04


No. 9
SmPaTe | PBE | optimized geometry

Calculated values
Its crystal system is cubic. Its space group is F-43m, No. 216. The energy relative to the lowest polymorph listed for this composition is 0.000 eV per atom.

Unit cell a=5.1511 b=5.1511 c=5.1511 alpha=60.00 beta=60.00 gamma=60.00
Closest atoms and distances in Å follow each position.
Fractional coordinates of all 3 atoms:
Pa  0.2500  0.2500  0.2500  4 Te 3.15
Sm  0.7500  0.7500  0.7500  4 Te 3.15
Te  0.0000  0.0000  0.0000  4 Pa 3.15, 4 Sm 3.15


No. 10
LiHo2 | PBE | optimized geometry

Calculated values
Its crystal system is cubic. Its space group is Fd-3m, No. 227. The energy relative to the lowest polymorph listed for this composition is 0.000 eV per atom.

Unit cell a=6.4407 b=6.4407 c=6.4407 alpha=60.00 beta=60.00 gamma=60.00
Closest atoms and distances in Å follow each position.
Fractional coordinates of all 6 atoms:
Ho  0.6250  0.6250  0.1250  6 Ho 3.22
Ho  0.6250  0.1250  0.6250  6 Ho 3.22
Ho  0.1250  0.6250  0.6250  6 Ho 3.22
Ho  0.6250  0.6250  0.6250  6 Ho 3.22
Li  0.0000  0.0000  0.0000  12 Ho 3.78, 4 Li 3.94
Li  0.2500  0.2500  0.2500  12 Ho 3.78, 4 Li 3.94


No. 11
Li4CdSi2Pt | PBE | optimized geometry

Calculated values
Its crystal system is tetragonal. Its space group is P-4m2, No. 115. The value obtained for the total energy is -3.63 eV per atom.

Unit cell a=4.2689 b=4.2689 c=6.1917 alpha=90.00 beta=90.00 gamma=90.00
Closest atoms and distances in Å follow each position.
Fractional coordinates of all 8 atoms:
Cd  0.0000  0.0000  0.0000  8 Li 2.70-3.02, 4 Si 2.76
Li  0.5000  0.5000  0.0000  4 Li 2.70, 4 Si 2.76, 4 Cd 3.02
Li  0.0000  0.5000  0.2668  4 Li 2.58-2.70, 2 Pt 2.58, 2 Cd 2.70, 1 Si 2.79
Li  0.0000  0.0000  0.5000  4 Si 2.52, 4 Li 2.58
Li  0.5000  0.0000  0.7332  4 Li 2.58-2.70, 2 Pt 2.58, 2 Cd 2.70, 1 Si 2.79
Pt  0.5000  0.5000  0.5000  4 Si 2.52, 4 Li 2.58
Si  0.5000  0.0000  0.2826  5 Li 2.52-2.79, 2 Pt 2.52, 2 Cd 2.76
Si  0.0000  0.5000  0.7174  5 Li 2.52-2.79, 2 Pt 2.52, 2 Cd 2.76


No. 12
YZnInFe | PBE | optimized geometry

Calculated values
Its crystal system is cubic. Its space group is F-43m, No. 216. The energy relative to the lowest polymorph listed for this composition is 0.036 eV per atom.

Unit cell a=4.6991 b=4.6991 c=4.6991 alpha=60.00 beta=60.00 gamma=60.00
Closest atoms and distances in Å follow each position.
Fractional coordinates of all 4 atoms:
Fe  0.7500  0.7500  0.7500  4 In 2.88, 4 Zn 2.88
In  0.0000  0.0000  0.0000  4 Fe 2.88, 4 Y 2.88
Y  0.2500  0.2500  0.2500  4 In 2.88, 4 Zn 2.88
Zn  0.5000  0.5000  0.5000  4 Fe 2.88, 4 Y 2.88


- Which formula does entry 7 have?
  TcGePd


What did the eighth record say?
ZrSc2Al3CoCu2 | PBE | optimized geometry

Calculated values
Its crystal system is orthorhombic. Its space group is Amm2, No. 38. The value obtained for the total energy is -5.69 eV per atom.

Unit cell a=3.7919 b=6.7398 c=6.7398 alpha=120.68 beta=90.00 gamma=90.00
Closest atoms and distances in Å follow each position.
Fractional coordinates of all 9 atoms:
Al  0.5000  0.2410  0.0008  2 Co 2.50, 2 Cu 2.59-2.61
Al  0.5000  0.0008  0.2410  2 Co 2.50, 2 Cu 2.59-2.61
Al  0.5000  0.7571  0.7571  2 Co 2.49, 2 Cu 2.61
Co  0.0000  0.9984  0.9984  6 Al 2.49-2.50, 1 Zr 2.73, 2 Sc 2.73
Cu  0.5000  0.6678  0.3319  3 Al 2.59-2.61, 4 Sc 2.77-2.78, 2 Zr 2.80
Cu  0.5000  0.3319  0.6678  3 Al 2.59-2.61, 4 Sc 2.77-2.78, 2 Zr 2.80
Sc  0.0000  0.5942  0.0013  1 Co 2.73, 4 Cu 2.77-2.78, 6 Al 3.03-3.06
Sc  0.0000  0.0013  0.5942  1 Co 2.73, 4 Cu 2.77-2.78, 6 Al 3.03-3.06
Zr  0.0000  0.4076  0.4076  1 Co 2.73, 4 Cu 2.80, 6 Al 3.01-3.04